(1)
A plane-wave DFT calculation with GGA-PBE was carried out for crystalline FeIr4Ru3 at its relaxed geometry. Values from VASP.

Summary:
The energy comes out at -8.9671 eV per atom. Its energy of formation from the pure elements is 0.00 eV per atom. As for the space-group type: C2/m, No. 12.

```
&SYSTEM
  ibrav = 0, nat = 8, ntyp = 3
/
ATOMIC_SPECIES
Fe 55.84 Fe.upf
Ir 192.22 Ir.upf
Ru 101.07 Ru.upf
CELL_PARAMETERS angstrom
8.852 -1.359 0.000
8.852 1.359 0.000
-0.384 0.000 4.666
ATOMIC_POSITIONS crystal
Fe 0.000 0.000 0.000
Ir 0.125 0.125 0.376
Ir 0.377 0.377 0.122
Ir 0.623 0.623 0.878
Ir 0.875 0.875 0.624
Ru 0.248 0.248 0.752
Ru 0.500 0.500 0.500
Ru 0.752 0.752 0.248
```



(2)
A plane-wave DFT calculation with GGA-PBE was carried out for crystalline FeIr2Ru at its relaxed geometry. Values from VASP.

Summary:
The energy above the most stable polymorph in this dataset is 1052 meV per atom. The energy comes out at -7.8513 eV per atom. Its energy of formation from the pure elements is 1.01 eV per atom. As for the space-group type: R3m, No. 160.

```
&SYSTEM
  ibrav = 0, nat = 4, ntyp = 3
/
ATOMIC_SPECIES
Fe 55.84 Fe.upf
Ir 192.22 Ir.upf
Ru 101.07 Ru.upf
CELL_PARAMETERS angstrom
1.901 1.098 6.224
-1.901 1.098 6.224
0.000 -2.195 6.224
ATOMIC_POSITIONS crystal
Fe 0.000 0.000 0.000
Ir 0.369 0.369 0.369
Ir 0.879 0.879 0.879
Ru 0.497 0.497 0.497
```



(3)
A plane-wave DFT calculation with GGA-PBE was carried out for crystalline Fe2Ir5Ru2 at its relaxed geometry. Values from VASP.

Summary:
The energy comes out at -8.8765 eV per atom. Its energy of formation from the pure elements is -0.01 eV per atom. As for the space-group type: C2/m, No. 12.

```
&SYSTEM
  ibrav = 0, nat = 9, ntyp = 3
/
ATOMIC_SPECIES
Fe 55.84 Fe.upf
Ir 192.22 Ir.upf
Ru 101.07 Ru.upf
CELL_PARAMETERS angstrom
5.651 -1.909 0.000
5.651 1.909 0.000
-1.870 0.000 5.763
ATOMIC_POSITIONS crystal
Fe 0.221 0.221 0.330
Fe 0.779 0.779 0.670
Ir 0.000 0.000 0.000
Ir 0.115 0.115 0.670
Ir 0.440 0.440 0.665
Ir 0.560 0.560 0.335
Ir 0.885 0.885 0.330
Ru 0.331 0.331 0.001
Ru 0.669 0.669 0.999
```



(4)
A plane-wave DFT calculation with GGA-PBE was carried out for crystalline Fe2Ir15Ru2 at its relaxed geometry. Values from VASP.

Summary:
The energy comes out at -8.3926 eV per atom. Its energy of formation from the pure elements is 0.47 eV per atom. As for the space-group type: R-3m, No. 166.

```
&SYSTEM
  ibrav = 0, nat = 19, ntyp = 3
/
ATOMIC_SPECIES
Fe 55.84 Fe.upf
Ir 192.22 Ir.upf
Ru 101.07 Ru.upf
CELL_PARAMETERS angstrom
4.413 2.548 4.500
-4.413 2.548 4.500
0.000 -5.096 4.500
ATOMIC_POSITIONS crystal
Fe 0.091 0.091 0.091
Fe 0.909 0.909 0.909
Ir 0.000 0.000 0.500
Ir 0.000 0.305 0.695
Ir 0.000 0.500 0.000
Ir 0.000 0.695 0.305
Ir 0.152 0.646 0.646
Ir 0.305 0.000 0.695
Ir 0.305 0.695 0.000
Ir 0.354 0.354 0.848
Ir 0.354 0.848 0.354
Ir 0.500 0.000 0.000
Ir 0.646 0.152 0.646
Ir 0.646 0.646 0.152
Ir 0.695 0.000 0.305
Ir 0.695 0.305 0.000
Ir 0.848 0.354 0.354
Ru 0.274 0.274 0.274
Ru 0.726 0.726 0.726
```



Density of states at the Fermi level? In order: 8.21, 2.65, 10.53, 27.76 states/eV/f.u..